First-principles (PBE) data for a relaxed structure of TlBiB3, as listed in Alexandria via LeMat-Bulk.

Energy of formation from the pure elements, eV per atom: 2.275
Density of states at the Fermi level, states/eV per cell: 2.6
Total magnetization, μB per cell: 0.0
Calculated volume, Å³ per cell: 97.8

a = 4.6074 Å, b = 4.6074 Å, c = 4.6074 Å
α = 90.00°, β = 90.00°, γ = 90.00°
With the nearest neighbours (Å) after each atom.
Fractional coordinates of all 5 atoms:
B 0.5000 0.0000 0.0000  2 Tl 2.30
B 0.0000 0.0000 0.5000  2 Tl 2.30
B 0.0000 0.5000 0.0000  2 Tl 2.30
Bi 0.5000 0.5000 0.5000  12 B 3.26
Tl 0.0000 0.0000 0.0000  6 B 2.30